[1]
Material: PrNd4Ag
Method: DFT, PBE-GGA
State: optimized geometry

Space-group type: Cmc2_1 (36)
ΔE to the lowest computed polymorph, eV/atom: 0.107

Cell: 11.008 11.008 6.615 Å, 90.00 90.00 150.19°
Positions (direct):
Pr (0.132, 0.868, 0.500)
Pr (0.868, 0.132, 0.000)
Nd (0.064, 0.936, 0.998)
Nd (0.252, 0.748, 0.103)
Nd (0.322, 0.678, 0.636)
Nd (0.466, 0.534, 0.829)
Nd (0.534, 0.466, 0.329)
Nd (0.678, 0.322, 0.136)
Nd (0.748, 0.252, 0.603)
Nd (0.936, 0.064, 0.498)
Ag (0.394, 0.606, 0.239)
Ag (0.606, 0.394, 0.739)


[2]
Material: PrNd4Ag5
Method: DFT, PBE-GGA
State: optimized geometry

Space-group type: P4/mmm (123)

Cell: 3.733 3.733 19.111 Å, 90.00 90.00 90.00°
Positions (direct):
Pr (0.000, 0.000, 0.000)
Nd (0.000, 0.000, 0.201)
Nd (0.000, 0.000, 0.400)
Nd (0.000, 0.000, 0.600)
Nd (0.000, 0.000, 0.799)
Ag (0.500, 0.500, 0.102)
Ag (0.500, 0.500, 0.301)
Ag (0.500, 0.500, 0.500)
Ag (0.500, 0.500, 0.699)
Ag (0.500, 0.500, 0.898)


[3]
Material: Pr3Nd4Ag
Method: DFT, PBE-GGA
State: optimized geometry

Space-group type: P4/mmm (123)

Cell: 3.712 3.712 19.514 Å, 90.00 90.00 90.00°
Positions (direct):
Pr (0.000, 0.000, 0.000)
Pr (0.000, 0.000, 0.268)
Pr (0.000, 0.000, 0.732)
Nd (0.500, 0.500, 0.134)
Nd (0.500, 0.500, 0.401)
Nd (0.500, 0.500, 0.599)
Nd (0.500, 0.500, 0.866)
Ag (0.000, 0.000, 0.500)


[4]
Material: PrNdAg
Method: DFT, PBE-GGA
State: optimized geometry

Space-group type: Pnma (62)
ΔE to the lowest computed polymorph, eV/atom: 0.000

Cell: 7.247 5.252 9.464 Å, 90.00 90.00 90.00°
Positions (direct):
Pr (0.009, 0.250, 0.186)
Pr (0.491, 0.750, 0.686)
Pr (0.509, 0.250, 0.314)
Pr (0.991, 0.750, 0.814)
Nd (0.156, 0.250, 0.582)
Nd (0.344, 0.750, 0.082)
Nd (0.656, 0.250, 0.918)
Nd (0.844, 0.750, 0.418)
Ag (0.237, 0.250, 0.902)
Ag (0.263, 0.750, 0.402)
Ag (0.737, 0.250, 0.598)
Ag (0.763, 0.750, 0.098)


[5]
Material: Pr4Nd3Ag
Method: DFT, PBE-GGA
State: optimized geometry

Space-group type: P4/mmm (123)

Cell: 3.717 3.717 19.566 Å, 90.00 90.00 90.00°
Positions (direct):
Pr (0.000, 0.000, 0.100)
Pr (0.000, 0.000, 0.366)
Pr (0.000, 0.000, 0.634)
Pr (0.000, 0.000, 0.900)
Nd (0.500, 0.500, 0.234)
Nd (0.500, 0.500, 0.500)
Nd (0.500, 0.500, 0.766)
Ag (0.500, 0.500, 0.000)


[6]
Material: Pr2Nd3Ag2
Method: DFT, PBE-GGA
State: optimized geometry

Space-group type: Cmmm (65)
ΔE to the lowest computed polymorph, eV/atom: 0.050

Cell: 15.795 15.795 3.700 Å, 90.00 90.00 166.43°
Positions (direct):
Pr (0.203, 0.797, 0.000)
Pr (0.797, 0.203, 0.000)
Nd (0.083, 0.917, 0.000)
Nd (0.500, 0.500, 0.500)
Nd (0.917, 0.083, 0.000)
Ag (0.359, 0.641, 0.500)
Ag (0.641, 0.359, 0.500)


The DFT formation energy results, record by record, are as follows: 0.25, -2.54, -0.38, -0.45, -0.35, -0.46 eV per formula unit.